An optimized crystal structure of K2MoSeO6, computed with PBE+U.

abc: 5.6825 5.6825 5.6821
angles: 60.00 60.00 90.00
Last column: nearest neighbours and their distance in Å.
Positions (direct):
K 0.7500 0.2500 0.5000  12 O 2.84
O 0.2433 0.2433 0.5133  1 Mo 1.96, 1 Se 2.06
O 0.7568 0.7567 0.0000  1 Mo 1.96, 1 Se 2.06
O 0.7567 0.2432 0.0000  1 Mo 1.95, 1 Se 2.06
O 0.7567 0.7567 0.4867  1 Mo 1.96, 1 Se 2.06
K 0.2500 0.7500 0.5000  12 O 2.84
O 0.2433 0.7568 0.0000  1 Mo 1.95, 1 Se 2.06
Mo 0.0000 0.0000 0.0000  6 O 1.95-1.96
O 0.2432 0.2433 0.0000  1 Mo 1.96, 1 Se 2.06
Se 0.5000 0.5000 0.0000  6 O 2.06

Distance to the lowest polymorph of the same formula (meV per atom): 271
Symmetry: Fm-3m (225)